# 1
11
Lattice="7.986 -2.472 0.000 7.986 2.472 0.000 -2.398 0.000 6.811" Properties=species:S:1:pos:R:3 comment="Tb2ErHg8 PBE optimized geometry" final_energy_ev_per_atom=-1.789 dos_ef_per_ev_atom=0.45 formation_enthalpy_0k_ev_per_fu=-3.44 pbc="T T T"
Tb 3.047 0.000 1.066
Tb 10.528 0.000 5.744
Er 6.787 0.000 3.405
Hg -0.123 0.000 1.569
Hg 0.772 0.000 4.622
Hg 3.832 0.000 4.097
Hg 6.322 0.000 0.335
Hg 7.253 0.000 6.476
Hg 9.743 0.000 2.714
Hg 12.803 0.000 2.189
Hg 13.698 0.000 5.242

***

# 2
10
Lattice="7.420 0.000 0.000 0.000 7.420 0.000 0.000 0.000 2.873" Properties=species:S:1:pos:R:3 comment="Zn2AgPd2 PBE optimized geometry" final_energy_ev_per_atom=-3.497 relative_energy_mev_per_atom=14.7 dos_ef_per_ev_atom=0.32 formation_enthalpy_0k_ev_per_fu=-1.70 pbc="T T T"
Zn 1.195 2.516 0.000
Zn 2.516 6.226 0.000
Zn 4.905 1.195 0.000
Zn 6.226 4.905 0.000
Ag 0.000 0.000 1.436
Ag 3.710 3.710 1.436
Pd 1.012 4.722 1.436
Pd 2.698 1.012 1.436
Pd 4.722 6.409 1.436
Pd 6.409 2.698 1.436

***

# 3
4
Lattice="4.874 0.000 0.000 0.000 4.874 0.000 0.000 0.000 3.510" Properties=species:S:1:pos:R:3 comment="BaNi2Sb PBE optimized geometry" final_energy_ev_per_atom=-4.185 dos_ef_per_ev_atom=0.70 formation_energy_uncorrected_ev_per_atom=0.217 pbc="T T T"
Ba 0.000 0.000 0.000
Ni 0.000 2.437 1.755
Ni 2.437 0.000 1.755
Sb 2.437 2.437 0.000

***

# 4
12
Lattice="9.859 -2.264 0.000 9.859 2.264 0.000 -2.071 0.000 8.801" Properties=species:S:1:pos:R:3 comment="PrNd3Th2Sb6 PBE optimized geometry" final_energy_ev_per_atom=-6.001 dos_ef_per_ev_atom=0.40 formation_energy_uncorrected_ev_per_atom=-1.113 pbc="T T T"
Pr 0.000 0.000 0.000
Nd -1.036 0.000 4.400
Nd 6.251 0.000 1.464
Nd 11.395 0.000 7.337
Th 5.207 0.000 5.885
Th 12.439 0.000 2.916
Sb 2.095 0.000 5.124
Sb 3.127 0.000 0.747
Sb 8.296 0.000 6.582
Sb 9.350 0.000 2.219
Sb 14.519 0.000 8.054
Sb 15.551 0.000 3.677

***

# 5
5
Lattice="4.903 0.000 0.000 0.000 4.903 0.000 0.000 0.000 4.903" Properties=species:S:1:pos:R:3 comment="Ag3AsAu PBE optimized geometry" final_energy_ev_per_atom=-2.860 relative_energy_mev_per_atom=0.0 dos_ef_per_ev_atom=0.35 formation_enthalpy_0k_ev_per_fu=2.18 pbc="T T T"
Ag 0.000 0.000 2.451
Ag 0.000 2.451 0.000
Ag 2.451 0.000 0.000
As 0.000 0.000 0.000
Au 2.451 2.451 2.451

***

# 6
3
Lattice="0.000 3.387 3.387 3.387 0.000 3.387 3.387 3.387 0.000" Properties=species:S:1:pos:R:3 comment="MgScSb PBE optimized geometry" final_energy_ev_per_atom=-4.252 relative_energy_mev_per_atom=321.8 dos_ef_per_ev_atom=0.90 formation_energy_uncorrected_ev_per_atom=-0.236 pbc="T T T"
Mg 0.000 0.000 0.000
Sc 3.387 3.387 3.387
Sb 5.080 5.080 5.080